Entry 1:
VASP calculation (PBE) on a relaxed HfScPbN2 crystal.

a = 4.197 Å, b = 5.748 Å, c = 4.197 Å
α = 90.00°, β = 90.00°, γ = 90.00°
Fractional positions:
Pb (0.500, 0.500, 0.500)
N (0.000, 0.000, 0.500)
Sc (0.000, 0.000, 0.000)
N (0.500, 0.000, 0.000)
Hf (0.000, 0.500, 0.000)

Properties
The electronic total energy is -6.3684 eV/atom. The formation energy without anion corrections is 4.80 eV per formula unit. Its symmetry is P4/mmm (123).



Entry 2:
VASP calculation (PBE) on a relaxed Hf2ScPbN crystal.

a = 4.397 Å, b = 4.397 Å, c = 4.782 Å
α = 90.00°, β = 90.00°, γ = 90.00°
Fractional positions:
Hf (0.500, 0.000, 0.000)
Sc (0.000, 0.000, 0.500)
Hf (0.000, 0.500, 0.000)
Pb (0.500, 0.500, 0.500)
N (0.000, 0.000, 0.000)

Properties
The electronic total energy is -8.3658 eV/atom. The formation energy without anion corrections is -3.56 eV per formula unit. Its symmetry is P4/mmm (123).



Entry 3:
VASP calculation (PBE) on a relaxed HfTePbN2 crystal.

a = 4.294 Å, b = 4.294 Å, c = 5.882 Å
α = 90.00°, β = 90.00°, γ = 90.00°
Each line ends with the local moment (μB).
Fractional positions:
Te (0.000, 0.000, 0.500)  0.02
N (0.000, 0.500, 0.000)  0.37
Hf (0.000, 0.000, 0.000)  -0.03
N (0.500, 0.000, 0.000)  0.37
Pb (0.500, 0.500, 0.500)  -0.01

Properties
The electronic total energy is -6.5018 eV/atom. The formation energy without anion corrections is 0.95 eV per formula unit. Its symmetry is P4/mmm (123). The offset from the most stable computed form is 0 meV per atom.



Entry 4:
VASP calculation (PBE) on a relaxed HfTe2PbN crystal.

a = 5.711 Å, b = 5.711 Å, c = 4.351 Å
α = 90.00°, β = 90.00°, γ = 90.00°
Fractional positions:
Te (0.000, 0.500, 0.000)
Te (0.500, 0.000, 0.000)
N (0.000, 0.000, 0.500)
Hf (0.500, 0.500, 0.500)
Pb (0.000, 0.000, 0.000)

Properties
The electronic total energy is -4.4407 eV/atom. The formation energy without anion corrections is 6.07 eV per formula unit. Its symmetry is P4/mmm (123).



Entry 5:
VASP calculation (PBE) on a relaxed HfTePbN2 crystal.

a = 4.311 Å, b = 4.311 Å, c = 5.860 Å
α = 90.00°, β = 90.00°, γ = 90.00°
Each line ends with the local moment (μB).
Fractional positions:
N (0.500, 0.000, 0.000)  0.52
Te (0.000, 0.000, 0.500)  0.01
Pb (0.000, 0.000, 0.000)  -0.01
Hf (0.500, 0.500, 0.500)  -0.57
N (0.000, 0.500, 0.000)  0.52

Properties
The electronic total energy is -5.0962 eV/atom. The formation energy without anion corrections is 7.97 eV per formula unit. Its symmetry is P4/mmm (123). The offset from the most stable computed form is 1406 meV per atom.



Entry 6:
VASP calculation (PBE) on a relaxed Hf2Ti4Pb2N crystal.

a = 5.978 Å, b = 5.978 Å, c = 5.978 Å
α = 99.15°, β = 114.87°, γ = 114.87°
Fractional positions:
Ti (0.000, 0.764, 0.236)
Ti (0.000, 0.236, 0.764)
Pb (0.500, 0.750, 0.250)
Hf (0.000, 0.285, 0.285)
N (0.000, 0.000, 0.000)
Ti (0.527, 0.764, 0.764)
Hf (0.000, 0.715, 0.715)
Ti (0.473, 0.236, 0.236)
Pb (0.500, 0.250, 0.750)

Properties
The electronic total energy is -7.8828 eV/atom. The formation energy without anion corrections is -3.72 eV per formula unit. Its symmetry is I4/mmm (139).



Entry 7:
VASP calculation (PBE) on a relaxed HfTi2PbN crystal.

a = 4.196 Å, b = 4.196 Å, c = 4.632 Å
α = 90.00°, β = 90.00°, γ = 90.00°
Fractional positions:
Hf (0.000, 0.000, 0.500)
Pb (0.500, 0.500, 0.500)
N (0.000, 0.000, 0.000)
Ti (0.000, 0.500, 0.000)
Ti (0.500, 0.000, 0.000)

Properties
The electronic total energy is -8.2201 eV/atom. The formation energy without anion corrections is -3.32 eV per formula unit. Its symmetry is P4/mmm (123).



Entry 8:
VASP calculation (PBE) on a relaxed Hf2TiPbN crystal.

a = 4.606 Å, b = 4.606 Å, c = 4.069 Å
α = 90.00°, β = 90.00°, γ = 90.00°
Fractional positions:
N (0.000, 0.000, 0.000)
Ti (0.000, 0.000, 0.500)
Pb (0.500, 0.500, 0.500)
Hf (0.000, 0.500, 0.000)
Hf (0.500, 0.000, 0.000)

Properties
The electronic total energy is -8.5903 eV/atom. The formation energy without anion corrections is -3.12 eV per formula unit. Its symmetry is P4/mmm (123).



Entry 9:
VASP calculation (PBE) on a relaxed Hf2VPbN crystal.

a = 5.440 Å, b = 4.102 Å, c = 5.440 Å
α = 90.00°, β = 90.00°, γ = 90.00°
Fractional positions:
Pb (0.000, 0.000, 0.000)
N (0.000, 0.500, 0.000)
Hf (0.500, 0.000, 0.000)
V (0.500, 0.500, 0.500)
Hf (0.000, 0.000, 0.500)

Properties
The electronic total energy is -6.0767 eV/atom. The formation energy without anion corrections is 10.68 eV per formula unit. Its symmetry is P4/mmm (123).



Entry 10:
VASP calculation (PBE) on a relaxed HfPbW2N crystal.

a = 4.090 Å, b = 5.208 Å, c = 4.090 Å
α = 90.00°, β = 90.00°, γ = 90.00°
Fractional positions:
W (0.000, 0.000, 0.500)
Hf (0.500, 0.500, 0.500)
W (0.500, 0.000, 0.000)
Pb (0.000, 0.500, 0.000)
N (0.000, 0.000, 0.000)

Properties
The electronic total energy is -9.2901 eV/atom. The formation energy without anion corrections is 1.44 eV per formula unit. Its symmetry is P4/mmm (123).



Entry 11:
VASP calculation (PBE) on a relaxed Y2HfPbN crystal.

a = 4.966 Å, b = 4.966 Å, c = 4.353 Å
α = 90.00°, β = 90.00°, γ = 90.00°
Fractional positions:
Hf (0.000, 0.000, 0.500)
Y (0.500, 0.000, 0.000)
Pb (0.500, 0.500, 0.500)
Y (0.000, 0.500, 0.000)
N (0.000, 0.000, 0.000)

Properties
The electronic total energy is -7.8215 eV/atom. The formation energy without anion corrections is -4.19 eV per formula unit. Its symmetry is P4/mmm (123).



Entry 12:
VASP calculation (PBE) on a relaxed Hf2ZrPbN crystal.

a = 4.378 Å, b = 4.378 Å, c = 4.889 Å
α = 90.00°, β = 90.00°, γ = 90.00°
Fractional positions:
Hf (0.000, 0.500, 0.000)
N (0.000, 0.000, 0.000)
Pb (0.500, 0.500, 0.500)
Zr (0.000, 0.000, 0.500)
Hf (0.500, 0.000, 0.000)

Properties
The electronic total energy is -8.7307 eV/atom. The formation energy without anion corrections is -3.16 eV per formula unit. Its symmetry is P4/mmm (123).



Entry 13:
VASP calculation (PBE) on a relaxed Hf6PdN crystal.

a = 5.090 Å, b = 5.848 Å, c = 5.682 Å
α = 82.26°, β = 91.49°, γ = 66.62°
Fractional positions:
Hf (0.942, 0.657, 0.203)
Hf (0.058, 0.343, 0.797)
Pd (0.500, 0.500, 0.500)
N (0.000, 0.000, 0.000)
Hf (0.773, 0.975, 0.672)
Hf (0.394, 0.751, 0.871)
Hf (0.606, 0.249, 0.129)
Hf (0.227, 0.025, 0.328)

Properties
The electronic total energy is -9.7244 eV/atom. The formation energy without anion corrections is -4.56 eV per formula unit. Its symmetry is P-1 (2).